{"formula": "Mg4Bi2Pb", "functional": "GGA-PBE", "state": "optimized geometry", "lattice": [[7.0433, 0.0000, 0.0000], [-1.1209, 6.9605, 0.0000], [-3.0543, -3.3965, 8.0457]], "species": ["Mg", "Mg", "Mg", "Mg", "Mg", "Mg", "Mg", "Mg", "Bi", "Bi", "Bi", "Bi", "Pb", "Pb"], "frac_coords": [[0.0000, 0.0000, 0.0000], [0.0200, 0.9588, 0.4774], [0.0964, 0.4182, 0.8618], [0.3965, 0.9549, 0.8451], [0.4289, 0.0926, 0.3567], [0.4751, 0.6437, 0.4657], [0.6529, 0.4793, 0.9671], [0.9186, 0.4057, 0.3233], [0.3163, 0.3907, 0.6309], [0.6784, 0.0945, 0.6933], [0.6991, 0.9451, 0.1607], [0.9495, 0.6933, 0.6620], [0.1100, 0.6781, 0.1872], [0.4088, 0.3316, 0.1391]], "dft_energy_ev_per_atom": -2.663, "space_group": "P1, No. 1", "formation_energy_ev_per_atom": -0.1130}

---

{"formula": "Sr4Hg3Au", "functional": "GGA-PBE", "state": "optimized geometry", "lattice": [[3.9501, 0.0000, 0.0000], [0.0000, 3.9501, 0.0000], [0.0000, 0.0000, 15.8785]], "species": ["Sr", "Sr", "Sr", "Sr", "Hg", "Hg", "Hg", "Au"], "frac_coords": [[0.0000, 0.0000, 0.1176], [0.0000, 0.0000, 0.3734], [0.0000, 0.0000, 0.6266], [0.0000, 0.0000, 0.8824], [0.5000, 0.5000, 0.2461], [0.5000, 0.5000, 0.5000], [0.5000, 0.5000, 0.7539], [0.5000, 0.5000, 0.0000]], "dft_energy_ev_per_atom": -1.941, "space_group": "P4/mmm, No. 123", "formation_energy_ev_per_atom": -0.5768, "polymorph_energy_mev_per_atom": 0}

---

{"formula": "K2LiTc", "functional": "GGA-PBE", "state": "optimized geometry", "lattice": [[4.0828, 0.0000, 0.0000], [0.0000, 4.1700, 0.0000], [0.0000, 0.0000, 12.2688]], "species": ["K", "K", "K", "K", "Li", "Li", "Tc", "Tc"], "frac_coords": [[0.0000, 0.0000, 0.2222], [0.0000, 0.0000, 0.7778], [0.5000, 0.5000, 0.2222], [0.5000, 0.5000, 0.7778], [0.0000, 0.5000, 0.5000], [0.5000, 0.0000, 0.5000], [0.0000, 0.5000, 0.0000], [0.5000, 0.0000, 0.0000]], "dft_energy_ev_per_atom": -2.585, "space_group": "Cmmm, No. 65", "formation_energy_ev_per_atom": 1.0339, "polymorph_energy_mev_per_atom": 124}

---

{"formula": "K2CrPt", "functional": "GGA-PBE", "state": "optimized geometry", "lattice": [[3.1986, 0.0000, 0.0000], [0.0000, 5.2385, 0.0000], [0.0000, 0.0000, 6.1477]], "species": ["K", "K", "Cr", "Pt"], "frac_coords": [[0.0000, 0.0000, 0.2347], [0.0000, 0.0000, 0.7653], [0.5000, 0.5000, 0.5000], [0.5000, 0.5000, 0.0000]], "dft_energy_ev_per_atom": -3.761, "space_group": "Pmmm, No. 47", "formation_energy_ev_per_atom": 0.7035, "polymorph_energy_mev_per_atom": 436}

---

{"formula": "PaHgAu2", "functional": "GGA-PBE", "state": "optimized geometry", "lattice": [[7.0245, 0.0000, 0.0000], [0.0000, 7.0245, 0.0000], [0.0000, 0.0000, 7.0245]], "species": ["Pa", "Pa", "Pa", "Pa", "Hg", "Hg", "Hg", "Hg", "Au", "Au", "Au", "Au", "Au", "Au", "Au", "Au"], "frac_coords": [[0.0000, 0.0000, 0.0000], [0.0000, 0.5000, 0.5000], [0.5000, 0.0000, 0.5000], [0.5000, 0.5000, 0.0000], [0.0000, 0.0000, 0.5000], [0.0000, 0.5000, 0.0000], [0.5000, 0.0000, 0.0000], [0.5000, 0.5000, 0.5000], [0.2500, 0.2500, 0.2500], [0.2500, 0.2500, 0.7500], [0.2500, 0.7500, 0.2500], [0.2500, 0.7500, 0.7500], [0.7500, 0.2500, 0.2500], [0.7500, 0.2500, 0.7500], [0.7500, 0.7500, 0.2500], [0.7500, 0.7500, 0.7500]], "dft_energy_ev_per_atom": -4.391, "space_group": "Fm-3m, No. 225", "formation_energy_ev_per_atom": -0.3033, "polymorph_energy_mev_per_atom": 0}

---

{"formula": "LiZn2Mo", "functional": "GGA-PBE", "state": "optimized geometry", "lattice": [[8.9684, 0.0000, 0.0000], [0.0000, 2.5750, 0.0000], [-0.5861, 0.0000, 5.2161]], "species": ["Li", "Li", "Zn", "Zn", "Zn", "Zn", "Mo", "Mo"], "frac_coords": [[0.0000, 0.0000, 0.0000], [0.5000, 0.5000, 0.0000], [0.2491, 0.0000, 0.7494], [0.2509, 0.5000, 0.2506], [0.7491, 0.5000, 0.7494], [0.7509, 0.0000, 0.2506], [0.0000, 0.5000, 0.5000], [0.5000, 0.0000, 0.5000]], "dft_energy_ev_per_atom": -3.602, "space_group": "C2/m, No. 12", "formation_energy_ev_per_atom": 0.2216, "polymorph_energy_mev_per_atom": 235}

---

{"formula": "PmHoCuAu", "functional": "GGA-PBE", "state": "optimized geometry", "lattice": [[7.1756, 0.0000, 0.0000], [0.0000, 7.1756, 0.0000], [0.0000, 0.0000, 7.1756]], "species": ["Pm", "Pm", "Pm", "Pm", "Ho", "Ho", "Ho", "Ho", "Cu", "Cu", "Cu", "Cu", "Au", "Au", "Au", "Au"], "frac_coords": [[0.0000, 0.0000, 0.0000], [0.0000, 0.5000, 0.5000], [0.5000, 0.0000, 0.5000], [0.5000, 0.5000, 0.0000], [0.0000, 0.0000, 0.5000], [0.0000, 0.5000, 0.0000], [0.5000, 0.0000, 0.0000], [0.5000, 0.5000, 0.5000], [0.2500, 0.2500, 0.7500], [0.2500, 0.7500, 0.2500], [0.7500, 0.2500, 0.2500], [0.7500, 0.7500, 0.7500], [0.2500, 0.2500, 0.2500], [0.2500, 0.7500, 0.7500], [0.7500, 0.2500, 0.7500], [0.7500, 0.7500, 0.2500]], "dft_energy_ev_per_atom": -4.680, "space_group": "F-43m, No. 216", "formation_energy_ev_per_atom": -0.5045, "polymorph_energy_mev_per_atom": 28}